Entry 1:
Material: CeThTe2
Method: DFT, PBE-GGA
State: relaxed

The structure in POSCAR format:
```
CeThTe2
1.0
4.219 0.000 0.000
-2.110 3.654 0.000
0.000 0.000 24.771
Ce Th Te
3 3 6
Cartesian
0.000 0.000 0.000
0.000 2.436 16.514
2.110 1.218 8.257
0.000 0.000 20.557
0.000 2.436 12.300
2.110 1.218 4.043
0.000 0.000 10.266
0.000 0.000 14.414
0.000 2.436 2.009
0.000 2.436 6.157
2.110 1.218 18.523
2.110 1.218 22.671
```

## Properties
- Crystal system: trigonal
- ΔE_f (raw): -4.7 eV per formula unit
- E above lowest polymorph: 0.0251 eV per atom
- Space group: R3m, No. 160
- DFT total energy: -0.447 Ry/atom

---

Entry 2:
Material: La2Pm6Pr3
Method: DFT, PBE-GGA
State: relaxed

The structure in POSCAR format:
```
La2Pm6Pr3
1.0
3.018 -5.860 0.000
3.018 5.860 0.000
-1.604 0.000 11.281
La Pm Pr
2 6 3
Cartesian
3.018 4.225 0.000
3.018 -4.225 0.000
0.090 0.000 3.010
1.366 1.838 8.815
3.065 1.838 2.466
1.366 -1.838 8.815
3.065 -1.838 2.466
4.341 0.000 8.271
2.216 3.771 5.641
2.216 0.000 5.641
2.216 -3.771 5.641
```

## Properties
- Crystal system: monoclinic
- E above lowest polymorph: 0.0000 eV per atom
- Space group: C2/m, No. 12
- DFT total energy: -0.342 Ry/atom
- Energy relative to the elements: 0.1439 eV/atom

---

Entry 3:
Material: CaTm8Sn6
Method: DFT, PBE-GGA
State: relaxed

The structure in POSCAR format:
```
CaTm8Sn6
1.0
4.491 2.593 6.395
-4.491 2.593 6.395
0.000 -5.186 6.395
Ca Tm Sn
1 8 6
Cartesian
0.000 0.000 0.000
-3.013 0.043 8.406
-1.543 -2.588 10.779
0.000 0.000 6.394
1.470 -2.631 8.406
-1.470 2.631 10.779
0.000 0.000 12.790
1.543 2.588 8.406
3.013 -0.043 10.779
-1.528 -2.545 7.716
-2.968 0.051 11.469
-1.440 2.596 7.716
1.440 -2.596 11.469
2.968 -0.051 7.716
1.528 2.545 11.469
```

## Properties
- Crystal system: trigonal
- Space group: R-3, No. 148
- DFT total energy: -0.340 Ry/atom
- Energy relative to the elements: -0.5071 eV/atom

---

Entry 4:
Material: La4SbSe2Br
Method: DFT, PBE-GGA
State: relaxed

The structure in POSCAR format:
```
La4SbSe2Br
1.0
6.229 0.000 0.000
0.000 6.229 0.000
0.000 0.000 12.469
La Sb Se Br
8 2 4 2
Cartesian
0.000 0.000 3.110
0.000 0.000 9.359
0.000 3.114 0.000
0.000 3.114 6.235
3.114 0.000 0.000
3.114 0.000 6.235
3.114 3.114 3.125
3.114 3.114 9.344
0.000 0.000 6.235
3.114 3.114 0.000
0.000 3.114 3.117
0.000 3.114 9.352
3.114 0.000 3.117
3.114 0.000 9.352
0.000 0.000 0.000
3.114 3.114 6.235
```

## Properties
- Crystal system: tetragonal
- ΔE_f (raw): -13.0 eV per formula unit
- Space group: I4/mmm, No. 139
- DFT total energy: -0.418 Ry/atom

---

Entry 5:
Material: Sr2CuNi9
Method: DFT, PBE-GGA
State: relaxed

The structure in POSCAR format:
```
Sr2CuNi9
1.0
2.481 1.432 8.263
-2.481 1.432 8.263
0.000 -2.865 8.263
Sr Cu Ni
2 1 9
Cartesian
0.000 0.000 3.375
0.000 0.000 21.414
0.000 0.000 0.000
-1.226 -0.708 10.174
0.000 0.000 8.238
0.000 -1.416 14.615
-1.226 0.708 14.615
0.000 0.000 12.394
1.226 -0.708 10.174
0.000 1.416 10.174
0.000 0.000 16.551
1.226 0.708 14.615
```

## Properties
- Crystal system: trigonal
- Space group: R-3m, No. 166
- DFT total energy: -0.352 Ry/atom
- Energy relative to the elements: 0.1697 eV/atom

---

Entry 6:
Material: Nd2Er2Tm3
Method: DFT, PBE-GGA
State: relaxed

The structure in POSCAR format:
```
Nd2Er2Tm3
1.0
16.622 0.000 0.000
0.000 3.488 0.000
-3.849 0.000 7.763
Nd Er Tm
4 4 6
Cartesian
0.557 0.000 1.566
3.904 1.744 6.197
8.869 1.744 1.566
12.216 0.000 6.197
-1.164 1.744 7.038
5.626 0.000 0.725
7.147 0.000 7.038
13.937 1.744 0.725
-1.925 0.000 3.881
1.164 0.000 5.022
3.297 1.744 2.741
6.387 1.744 3.881
9.476 1.744 5.022
11.609 0.000 2.741
```

## Properties
- Crystal system: monoclinic
- E above lowest polymorph: 0.0000 eV per atom
- Space group: C2/m, No. 12
- DFT total energy: -0.327 Ry/atom
- Energy relative to the elements: 0.1367 eV/atom

---

Entry 7:
Material: Fe2CuSe
Method: DFT, PBE-GGA
State: relaxed

The structure in POSCAR format:
```
Fe2CuSe
1.0
9.049 0.000 0.000
0.000 3.193 0.000
-1.742 0.000 3.672
Fe Cu Se
4 2 2
Cartesian
0.000 0.000 0.000
1.764 1.596 0.852
4.524 1.596 0.000
6.289 0.000 0.852
0.831 0.000 2.665
5.355 1.596 2.665
3.467 0.000 1.748
7.991 1.596 1.748
```

## Properties
- Crystal system: monoclinic
- ΔE_f (raw): 1.0 eV per formula unit
- Space group: Cm, No. 8
- DFT total energy: -0.432 Ry/atom

---

Entry 8:
Material: PmPrMgSi
Method: DFT, PBE-GGA
State: relaxed

The structure in POSCAR format:
```
PmPrMgSi
1.0
7.429 0.000 0.000
0.000 7.429 0.000
0.000 0.000 7.429
Pm Pr Mg Si
4 4 4 4
Cartesian
0.000 0.000 0.000
0.000 3.714 3.714
3.714 0.000 3.714
3.714 3.714 0.000
0.000 0.000 3.714
0.000 3.714 0.000
3.714 0.000 0.000
3.714 3.714 3.714
1.857 1.857 5.572
1.857 5.572 1.857
5.572 1.857 1.857
5.572 5.572 5.572
1.857 1.857 1.857
1.857 5.572 5.572
5.572 1.857 5.572
5.572 5.572 1.857
```

## Properties
- Crystal system: cubic
- ΔE_f (raw): -1.1 eV per formula unit
- Space group: F-43m, No. 216
- DFT total energy: -0.325 Ry/atom